MnAsCl: relaxed, PBEsol.

Lattice parameters (Å, degrees): 4.3969 4.3969 4.3969 60.00 60.00 60.00
With the nearest neighbours (Å) after each atom.
Positions (direct):
Cl  0.2500  0.2500  0.2500  4 As 2.69, 4 Mn 2.69
Mn  0.0000  0.0000  0.0000  4 Cl 2.69
As  0.5000  0.5000  0.5000  4 Cl 2.69

Computed properties:
Calculated volume ... 20.04 A^3/atom
Distance to the lowest polymorph of the same formula ... 956 meV per atom

=====

MnAs2Cl: relaxed, PBEsol.

Lattice parameters (Å, degrees): 3.2298 3.2298 7.6182 77.76 77.76 60.00
With the nearest neighbours (Å) after each atom.
Positions (direct):
As  0.2648  0.2648  0.2056  3 Mn 2.40
Cl  0.5000  0.5000  0.5000  6 As 2.86
Mn  0.0000  0.0000  0.0000  6 As 2.40
As  0.7352  0.7352  0.7944  3 Mn 2.40

Computed properties:
Calculated volume ... 16.68 A^3/atom
Distance to the lowest polymorph of the same formula ... 0 meV per atom

=====

NaMn2AsCl: relaxed, PBEsol.

Lattice parameters (Å, degrees): 4.3489 4.3489 5.3940 90.00 90.00 90.00
With the nearest neighbours (Å) after each atom.
Positions (direct):
As  0.0000  0.0000  0.5000  2 Cl 2.70
Mn  0.0000  0.5000  0.0000  2 Cl 2.17
Mn  0.5000  0.0000  0.0000  2 Cl 2.17
Na  0.5000  0.5000  0.5000  4 As 3.08
Cl  0.0000  0.0000  0.0000  4 Mn 2.17

Computed properties:
Calculated volume ... 20.40 A^3/atom
E_tot ... -4.865 eV per atom

=====

Rb2MnAsCl: relaxed, PBEsol.

Lattice parameters (Å, degrees): 4.2270 6.5331 6.5331 90.00 90.00 90.00
With the nearest neighbours (Å) after each atom.
Positions (direct):
Rb  0.0000  0.0000  0.5000  2 Mn 3.27
Rb  0.0000  0.5000  0.0000  2 Mn 3.27
Cl  0.5000  0.0000  0.0000  2 Mn 2.11
As  0.5000  0.5000  0.5000  8 Rb 3.89, 2 As 4.23
Mn  0.0000  0.0000  0.0000  2 Cl 2.11

Computed properties:
Calculated volume ... 36.08 A^3/atom
E_tot ... -3.522 eV per atom

=====

MnSbAsCl2: relaxed, PBEsol.

Lattice parameters (Å, degrees): 4.4462 4.4462 5.8319 90.00 90.00 90.00
With the nearest neighbours (Å) after each atom.
Positions (direct):
Mn  0.0000  0.0000  0.0000  4 Cl 2.22
As  0.5000  0.5000  0.5000  4 Sb 3.14
Cl  0.0000  0.5000  0.0000  2 Mn 2.22
Cl  0.5000  0.0000  0.0000  2 Mn 2.22
Sb  0.0000  0.0000  0.5000  2 Mn 2.92, 4 As 3.14

Computed properties:
Calculated volume ... 23.06 A^3/atom
E_tot ... -4.720 eV per atom

=====

MnAsSe2Cl: relaxed, PBEsol.

Lattice parameters (Å, degrees): 4.6707 5.0507 5.0507 90.00 90.00 90.00
With the nearest neighbours (Å) after each atom.
Positions (direct):
Cl  0.5000  0.0000  0.0000  2 As 2.34
Mn  0.5000  0.5000  0.5000  8 Se 3.44, 4 Cl 3.57
Se  0.0000  0.5000  0.0000  2 As 2.53
Se  0.0000  0.0000  0.5000  2 As 2.53
As  0.0000  0.0000  0.0000  2 Cl 2.34, 4 Se 2.53

Computed properties:
Calculated volume ... 23.83 A^3/atom
Distance to the lowest polymorph of the same formula ... 129 meV per atom